Model A:
DFT (PBE-GGA) results for an optimized crystal structure of TaZn2Fe.

a b c (Å): 6.089 6.089 6.089
angles (deg): 90.00 90.00 90.00
Space group F-43m (No. 216)
Asymmetric unit:
Ta: 0.000 0.000 0.000 x4
Zn: 0.000 0.000 0.500 x4
Zn: 0.250 0.250 0.750 x4
Fe: 0.250 0.250 0.250 x4

## Properties
Spin magnetization, μB per cell: 4.554
Calculated volume, Å³/cell: 225.81

***

Model B:
DFT (PBE-GGA) results for an optimized crystal structure of TaZn2Fe.

a b c (Å): 6.111 6.111 6.111
angles (deg): 90.00 90.00 90.00
Space group Fm-3m (No. 225)
Asymmetric unit:
Ta: 0.000 0.000 0.000 x4
Zn: 0.250 0.250 0.250 x8
Fe: 0.000 0.000 0.500 x4

## Properties
Spin magnetization, μB per cell: 7.405
Calculated volume, Å³/cell: 228.25

***

What should be chosen as the most stable of them? Choose model A.

***

Model A:
DFT (PBE-GGA) results for an optimized crystal structure of TmFeTc.

a b c (Å): 6.236 6.236 6.236
angles (deg): 90.00 90.00 90.00
Space group F-43m (No. 216)
Asymmetric unit:
Tm: 0.000 0.000 0.000 x4
Fe: 0.250 0.250 0.750 x4
Tc: 0.250 0.250 0.250 x4

## Properties
Spin magnetization, μB per cell: 16.103
Calculated volume, Å³/cell: 242.56

***

Model B:
DFT (PBE-GGA) results for an optimized crystal structure of TmFeTc.

a b c (Å): 6.019 6.019 6.019
angles (deg): 90.00 90.00 90.00
Space group F-43m (No. 216)
Asymmetric unit:
Tm: 0.000 0.000 0.000 x4
Fe: 0.250 0.250 0.750 x4
Tc: 0.000 0.000 0.500 x4

## Properties
Spin magnetization, μB per cell: 2.488
Calculated volume, Å³/cell: 218.06

***

What should be chosen as the most stable of them? Choose model B.